Compound: RbInAg
Source: Alexandria
Functional: PBE
Structure: optimized geometry Values from VASP.

Values from the calculation:
energy of formation = 3.5 kJ per mole of atoms
E_tot = -2.15 eV/atom
DOS(E_F) = 2.3 states/eV/cell
polymorph energy (0 for the lowest one) = 0.099 eV/atom
total moment = 0.00 Bohr magnetons per cell
SG = P-6m2

Structure (Quantum ESPRESSO input):
```
&SYSTEM
  ibrav = 0, nat = 3, ntyp = 3
/
ATOMIC_SPECIES
Rb 85.47 Rb.upf
In 114.82 In.upf
Ag 107.87 Ag.upf
ATOMIC_POSITIONS angstrom
Rb 3.620 0.000 2.819
In 0.908 2.442 1.410
Ag 0.902 0.000 0.000
CELL_PARAMETERS angstrom
5.430 0.000 0.000
0.000 4.883 0.000
0.000 -2.442 4.229
```



Compound: RbIn4Ag3
Source: Alexandria
Functional: PBE
Structure: optimized geometry Values from VASP.

Values from the calculation:
energy of formation = -1.9 kJ per mole of atoms
E_tot = -2.58 eV/atom
DOS(E_F) = 4.0 states/eV/cell
total moment = 0.00 Bohr magnetons per cell
SG = P4/mmm

Structure (Quantum ESPRESSO input):
```
&SYSTEM
  ibrav = 0, nat = 8, ntyp = 3
/
ATOMIC_SPECIES
Ag 107.87 Ag.upf
In 114.82 In.upf
Rb 85.47 Rb.upf
ATOMIC_POSITIONS angstrom
Ag 2.464 2.464 3.102
Ag 0.000 0.000 0.000
In 2.464 0.000 1.586
In 0.000 2.464 1.586
In 2.464 0.000 7.492
Ag 2.464 2.464 5.976
In 0.000 2.464 7.492
Rb 0.000 0.000 4.539
CELL_PARAMETERS angstrom
4.929 0.000 0.000
0.000 4.929 0.000
0.000 0.000 9.077
```



Compound: RbIn12Ag4
Source: Alexandria
Functional: PBE
Structure: optimized geometry Values from VASP.

Values from the calculation:
energy of formation = 7.6 kJ per mole of atoms
E_tot = -2.58 eV/atom
DOS(E_F) = 11.9 states/eV/cell
total moment = 0.00 Bohr magnetons per cell
SG = Im-3

Structure (Quantum ESPRESSO input):
```
&SYSTEM
  ibrav = 0, nat = 17, ntyp = 3
/
ATOMIC_SPECIES
Ag 107.87 Ag.upf
In 114.82 In.upf
Rb 85.47 Rb.upf
ATOMIC_POSITIONS angstrom
Ag -1.517 -1.381 3.779
In -4.965 -4.042 1.797
In -5.879 -1.737 -0.990
Rb 0.000 0.000 0.000
In -3.970 -0.374 4.761
In -2.690 2.453 1.074
In -5.530 2.485 -1.344
Ag -1.668 -2.379 -3.170
In -2.926 0.039 -2.417
In -3.605 4.758 -1.713
In -4.272 4.107 3.015
In -4.600 1.090 -4.676
Ag -4.285 0.358 0.042
In -5.643 0.677 2.502
Ag -1.100 4.118 -0.567
In -4.298 -3.391 -2.931
In -3.039 -1.769 1.428
CELL_PARAMETERS angstrom
-2.200 8.236 -1.135
-3.337 -4.758 -6.339
-3.033 -2.762 7.559
```